[1]
PBE Tl4CdIn2, relaxed; energy = -0.070 hartree per atom
1.0
-4.761 4.761 3.012
4.761 -4.761 3.012
4.761 4.761 -3.012
Tl Cd In
4 1 2
direct
0.000 0.225 0.225 Tl
0.000 0.775 0.775 Tl
0.225 0.000 0.225 Tl
0.775 0.000 0.775 Tl
0.500 0.500 0.000 Cd
0.250 0.750 0.500 In
0.750 0.250 0.500 In

[2]
PBE ErMg3, relaxed; energy = -0.087 hartree per atom
1.0
0.000 3.644 3.644
3.644 0.000 3.644
3.644 3.644 0.000
Er Mg
1 3
direct
0.000 0.000 0.000 Er
0.250 0.250 0.250 Mg
0.500 0.500 0.500 Mg
0.750 0.750 0.750 Mg

[3]
PBE LiInCu2, relaxed; energy = -0.112 hartree per atom
1.0
6.118 0.000 0.000
0.000 6.118 0.000
0.000 0.000 6.118
Li In Cu
4 4 8
direct
0.000 0.000 0.000 Li
0.000 0.000 0.500 Li
0.000 0.500 0.000 Li
0.500 0.000 0.000 Li
0.000 0.500 0.500 In
0.500 0.000 0.500 In
0.500 0.500 0.000 In
0.500 0.500 0.500 In
0.227 0.227 0.227 Cu
0.227 0.227 0.773 Cu
0.227 0.773 0.227 Cu
0.227 0.773 0.773 Cu
0.773 0.227 0.227 Cu
0.773 0.227 0.773 Cu
0.773 0.773 0.227 Cu
0.773 0.773 0.773 Cu

Q: Look up the energy of the second one.
A: -0.087 hartree per atom